Entry 1:
Computed, not measured: a relaxed RbSnP2 crystal at the PBE level of DFT.

Cell: 8.6204 8.6204 8.6204 Å, 25.82 25.82 25.82°
Sites, in units of the cell vectors:
1 Rb 0.0000 0.0000 0.0000
2 Sn 0.5000 0.5000 0.5000
3 P 0.2283 0.2283 0.2283
4 P 0.7717 0.7717 0.7717

## Properties
* DFT formation energy: 0.24 eV/f.u.
* space group: R-3m (166)

Entry 2:
Computed, not measured: a relaxed PmTh2Sc2 crystal at the PBE level of DFT.

Cell: 3.4751 3.4751 14.0823 Å, 90.00 90.00 120.00°
Sites, in units of the cell vectors:
1 Pm 0.0000 0.0000 0.0000
2 Th 0.3333 0.6667 0.3956
3 Th 0.6667 0.3333 0.6044
4 Sc 0.3333 0.6667 0.8026
5 Sc 0.6667 0.3333 0.1974

## Properties
* DFT formation energy: 0.33 eV/f.u.
* space group: P-3m1 (164)